Material: AlTcCl
Method: DFT, PBE
State: optimized geometry

The structure in CIF format:
```
data_AlTcCl
_space_group_name_H-M_alt 'P 1'
_space_group_IT_number 1
_cell_length_a 4.301
_cell_length_b 4.301
_cell_length_c 4.301
_cell_angle_alpha 60.00
_cell_angle_beta 60.00
_cell_angle_gamma 60.00
loop_
_space_group_symop_operation_xyz
'x,y,z'
loop_
_atom_site_label
_atom_site_type_symbol
_atom_site_fract_x
_atom_site_fract_y
_atom_site_fract_z
_atom_site_occupancy
Al1 Al 0.000 0.000 0.000 1
Tc1 Tc 0.500 0.500 0.500 1
Cl1 Cl 0.250 0.250 0.250 1
```

## Properties
Energy above the lowest structure with this stoichiometry ... 1028.1 meV/atom
D(E_F) ... 1.0 states/eV per cell
Symmetry ... F-43m, No. 216
M_tot ... 0.87 μB/atom

=====

Material: LaTaMo
Method: DFT, PBE
State: optimized geometry

The structure in CIF format:
```
data_LaTaMo
_space_group_name_H-M_alt 'P 1'
_space_group_IT_number 1
_cell_length_a 4.697
_cell_length_b 4.697
_cell_length_c 3.281
_cell_angle_alpha 90.00
_cell_angle_beta 90.00
_cell_angle_gamma 120.00
loop_
_space_group_symop_operation_xyz
'x,y,z'
loop_
_atom_site_label
_atom_site_type_symbol
_atom_site_fract_x
_atom_site_fract_y
_atom_site_fract_z
_atom_site_occupancy
La1 La 0.000 0.000 0.000 1
Ta1 Ta 0.333 0.667 0.607 1
Mo1 Mo 0.667 0.333 0.328 1
```

## Properties
Energy above the lowest structure with this stoichiometry ... 237.2 meV/atom
D(E_F) ... 1.9 states/eV per cell
Symmetry ... P3m1, No. 156
M_tot ... 0.00 μB/atom

=====

Material: NbPbSN2
Method: DFT, PBE
State: optimized geometry

The structure in CIF format:
```
data_NbPbSN2
_space_group_name_H-M_alt 'P 1'
_space_group_IT_number 1
_cell_length_a 4.113
_cell_length_b 4.113
_cell_length_c 5.155
_cell_angle_alpha 90.00
_cell_angle_beta 90.00
_cell_angle_gamma 90.00
loop_
_space_group_symop_operation_xyz
'x,y,z'
loop_
_atom_site_label
_atom_site_type_symbol
_atom_site_fract_x
_atom_site_fract_y
_atom_site_fract_z
_atom_site_occupancy
Nb1 Nb 0.000 0.000 0.000 1
Pb1 Pb 0.500 0.500 0.500 1
S1 S 0.000 0.000 0.500 1
N1 N 0.000 0.500 0.000 1
N2 N 0.500 0.000 0.000 1
```

## Properties
Energy above the lowest structure with this stoichiometry ... 0.0 meV/atom
D(E_F) ... 2.0 states/eV per cell
Symmetry ... P4/mmm, No. 123
M_tot ... 0.08 μB/atom

=====

Material: Tl12P3Br5
Method: DFT, PBE
State: optimized geometry

The structure in CIF format:
```
data_Tl12P3Br5
_space_group_name_H-M_alt 'P 1'
_space_group_IT_number 1
_cell_length_a 16.253
_cell_length_b 16.253
_cell_length_c 16.253
_cell_angle_alpha 109.47
_cell_angle_beta 109.47
_cell_angle_gamma 109.47
loop_
_space_group_symop_operation_xyz
'x,y,z'
loop_
_atom_site_label
_atom_site_type_symbol
_atom_site_fract_x
_atom_site_fract_y
_atom_site_fract_z
_atom_site_occupancy
Tl1 Tl 0.055 0.721 0.660 1
Tl2 Tl 0.055 0.834 0.395 1
Tl3 Tl 0.062 0.221 0.166 1
Tl4 Tl 0.062 0.340 0.895 1
Tl5 Tl 0.105 0.666 0.445 1
Tl6 Tl 0.105 0.938 0.660 1
Tl7 Tl 0.160 0.221 0.555 1
Tl8 Tl 0.160 0.438 0.605 1
Tl9 Tl 0.166 0.062 0.221 1
Tl10 Tl 0.166 0.605 0.945 1
Tl11 Tl 0.221 0.166 0.062 1
Tl12 Tl 0.221 0.555 0.160 1
Tl13 Tl 0.279 0.340 0.945 1
Tl14 Tl 0.279 0.438 0.334 1
Tl15 Tl 0.334 0.279 0.438 1
Tl16 Tl 0.334 0.555 0.895 1
Tl17 Tl 0.340 0.895 0.062 1
Tl18 Tl 0.340 0.945 0.279 1
Tl19 Tl 0.395 0.055 0.834 1
Tl20 Tl 0.395 0.840 0.562 1
Tl21 Tl 0.438 0.334 0.279 1
Tl22 Tl 0.438 0.605 0.160 1
Tl23 Tl 0.445 0.105 0.666 1
Tl24 Tl 0.445 0.840 0.779 1
Tl25 Tl 0.555 0.160 0.221 1
Tl26 Tl 0.555 0.895 0.334 1
Tl27 Tl 0.562 0.395 0.840 1
Tl28 Tl 0.562 0.666 0.721 1
Tl29 Tl 0.605 0.160 0.438 1
Tl30 Tl 0.605 0.945 0.166 1
Tl31 Tl 0.660 0.055 0.721 1
Tl32 Tl 0.660 0.105 0.938 1
Tl33 Tl 0.666 0.445 0.105 1
Tl34 Tl 0.666 0.721 0.562 1
Tl35 Tl 0.721 0.562 0.666 1
Tl36 Tl 0.721 0.660 0.055 1
Tl37 Tl 0.779 0.445 0.840 1
Tl38 Tl 0.779 0.834 0.938 1
Tl39 Tl 0.834 0.395 0.055 1
Tl40 Tl 0.834 0.938 0.779 1
Tl41 Tl 0.840 0.562 0.395 1
Tl42 Tl 0.840 0.779 0.445 1
Tl43 Tl 0.895 0.062 0.340 1
Tl44 Tl 0.895 0.334 0.555 1
Tl45 Tl 0.938 0.660 0.105 1
Tl46 Tl 0.938 0.779 0.834 1
Tl47 Tl 0.945 0.166 0.605 1
Tl48 Tl 0.945 0.279 0.340 1
P1 P 0.125 0.250 0.375 1
P2 P 0.125 0.375 0.750 1
P3 P 0.250 0.375 0.125 1
P4 P 0.250 0.875 0.625 1
P5 P 0.375 0.125 0.250 1
P6 P 0.375 0.750 0.125 1
P7 P 0.625 0.250 0.875 1
P8 P 0.625 0.875 0.750 1
P9 P 0.750 0.125 0.375 1
P10 P 0.750 0.625 0.875 1
P11 P 0.875 0.625 0.250 1
P12 P 0.875 0.750 0.625 1
Br1 Br 0.000 0.000 0.000 1
Br2 Br 0.000 0.000 0.500 1
Br3 Br 0.000 0.500 0.000 1
Br4 Br 0.000 0.500 0.500 1
Br5 Br 0.125 0.750 0.875 1
Br6 Br 0.125 0.875 0.250 1
Br7 Br 0.250 0.125 0.875 1
Br8 Br 0.250 0.625 0.375 1
Br9 Br 0.375 0.250 0.625 1
Br10 Br 0.375 0.625 0.750 1
Br11 Br 0.500 0.000 0.000 1
Br12 Br 0.500 0.000 0.500 1
Br13 Br 0.500 0.500 0.000 1
Br14 Br 0.500 0.500 0.500 1
Br15 Br 0.625 0.375 0.250 1
Br16 Br 0.625 0.750 0.375 1
Br17 Br 0.750 0.375 0.625 1
Br18 Br 0.750 0.875 0.125 1
Br19 Br 0.875 0.125 0.750 1
Br20 Br 0.875 0.250 0.125 1
```

## Properties
E_tot ... -2.7934 eV per atom
D(E_F) ... 47.0 states/eV per cell
Symmetry ... Ia-3d, No. 230
M_tot ... 0.00 μB/atom

=====

Material: YTl2Hg
Method: DFT, PBE
State: optimized geometry

The structure in CIF format:
```
data_YTl2Hg
_space_group_name_H-M_alt 'P 1'
_space_group_IT_number 1
_cell_length_a 4.022
_cell_length_b 4.022
_cell_length_c 6.800
_cell_angle_alpha 90.00
_cell_angle_beta 90.00
_cell_angle_gamma 90.00
loop_
_space_group_symop_operation_xyz
'x,y,z'
loop_
_atom_site_label
_atom_site_type_symbol
_atom_site_fract_x
_atom_site_fract_y
_atom_site_fract_z
_atom_site_occupancy
Y1 Y 0.000 0.000 0.000 1
Tl1 Tl 0.500 0.500 0.254 1
Tl2 Tl 0.500 0.500 0.746 1
Hg1 Hg 0.000 0.000 0.500 1
```

## Properties
E_tot ... -2.9919 eV per atom
D(E_F) ... 3.3 states/eV per cell
Symmetry ... P4/mmm, No. 123
M_tot ... 0.00 μB/atom

=====

Material: Pr3SbRu
Method: DFT, PBE
State: optimized geometry

The structure in CIF format:
```
data_Pr3SbRu
_space_group_name_H-M_alt 'P 1'
_space_group_IT_number 1
_cell_length_a 5.447
_cell_length_b 5.447
_cell_length_c 5.447
_cell_angle_alpha 90.00
_cell_angle_beta 90.00
_cell_angle_gamma 90.00
loop_
_space_group_symop_operation_xyz
'x,y,z'
loop_
_atom_site_label
_atom_site_type_symbol
_atom_site_fract_x
_atom_site_fract_y
_atom_site_fract_z
_atom_site_occupancy
Pr1 Pr 0.000 0.000 0.500 1
Pr2 Pr 0.000 0.500 0.000 1
Pr3 Pr 0.500 0.000 0.000 1
Sb1 Sb 0.500 0.500 0.500 1
Ru1 Ru 0.000 0.000 0.000 1
```

## Properties
Energy above the lowest structure with this stoichiometry ... 125.5 meV/atom
D(E_F) ... 4.6 states/eV per cell
Symmetry ... Pm-3m, No. 221
M_tot ... 0.00 μB/atom

=====

Material: Ba2CePuO6
Method: DFT, PBE
State: optimized geometry

The structure in CIF format:
```
data_Ba2CePuO6
_space_group_name_H-M_alt 'P 1'
_space_group_IT_number 1
_cell_length_a 6.282
_cell_length_b 6.282
_cell_length_c 6.282
_cell_angle_alpha 60.00
_cell_angle_beta 60.00
_cell_angle_gamma 60.00
loop_
_space_group_symop_operation_xyz
'x,y,z'
loop_
_atom_site_label
_atom_site_type_symbol
_atom_site_fract_x
_atom_site_fract_y
_atom_site_fract_z
_atom_site_occupancy
Ba1 Ba 0.250 0.250 0.250 1
Ba2 Ba 0.750 0.750 0.750 1
Ce1 Ce 0.000 0.000 0.000 1
Pu1 Pu 0.500 0.500 0.500 1
O1 O 0.253 0.253 0.747 1
O2 O 0.253 0.747 0.253 1
O3 O 0.253 0.747 0.747 1
O4 O 0.747 0.253 0.253 1
O5 O 0.747 0.253 0.747 1
O6 O 0.747 0.747 0.253 1
```

## Properties
Energy above the lowest structure with this stoichiometry ... 28.3 meV/atom
D(E_F) ... 4.6 states/eV per cell
Symmetry ... Fm-3m, No. 225
M_tot ... 0.40 μB/atom

=====

Material: Gd5As2O12
Method: DFT, PBE
State: optimized geometry

The structure in CIF format:
```
data_Gd5As2O12
_space_group_name_H-M_alt 'P 1'
_space_group_IT_number 1
_cell_length_a 6.896
_cell_length_b 6.896
_cell_length_c 7.383
_cell_angle_alpha 105.49
_cell_angle_beta 105.49
_cell_angle_gamma 51.17
loop_
_space_group_symop_operation_xyz
'x,y,z'
loop_
_atom_site_label
_atom_site_type_symbol
_atom_site_fract_x
_atom_site_fract_y
_atom_site_fract_z
_atom_site_occupancy
Gd1 Gd 0.000 0.000 0.000 1
Gd2 Gd 0.303 0.303 0.140 1
Gd3 Gd 0.304 0.304 0.666 1
Gd4 Gd 0.696 0.696 0.334 1
Gd5 Gd 0.697 0.697 0.860 1
As1 As 0.243 0.757 0.500 1
As2 As 0.757 0.243 0.500 1
O1 O 0.001 0.001 0.673 1
O2 O 0.096 0.598 0.924 1
O3 O 0.104 0.580 0.421 1
O4 O 0.402 0.904 0.076 1
O5 O 0.420 0.896 0.579 1
O6 O 0.500 0.500 0.324 1
O7 O 0.500 0.500 0.676 1
O8 O 0.580 0.104 0.421 1
O9 O 0.598 0.096 0.924 1
O10 O 0.896 0.420 0.579 1
O11 O 0.904 0.402 0.076 1
O12 O 0.999 0.999 0.327 1
```

## Properties
E_tot ... -10.0452 eV per atom
D(E_F) ... 2.2 states/eV per cell
Symmetry ... C2/m, No. 12
M_tot ... 1.83 μB/atom

=====

Material: NdHo4Al2
Method: DFT, PBE
State: optimized geometry

The structure in CIF format:
```
data_NdHo4Al2
_space_group_name_H-M_alt 'P 1'
_space_group_IT_number 1
_cell_length_a 8.101
_cell_length_b 6.453
_cell_length_c 8.281
_cell_angle_alpha 90.00
_cell_angle_beta 117.27
_cell_angle_gamma 90.00
loop_
_space_group_symop_operation_xyz
'x,y,z'
loop_
_atom_site_label
_atom_site_type_symbol
_atom_site_fract_x
_atom_site_fract_y
_atom_site_fract_z
_atom_site_occupancy
Nd1 Nd 0.177 0.250 0.243 1
Nd2 Nd 0.823 0.750 0.757 1
Ho1 Ho 0.058 0.250 0.553 1
Ho2 Ho 0.267 0.506 0.935 1
Ho3 Ho 0.267 0.994 0.935 1
Ho4 Ho 0.376 0.750 0.592 1
Ho5 Ho 0.624 0.250 0.408 1
Ho6 Ho 0.733 0.006 0.065 1
Ho7 Ho 0.733 0.494 0.065 1
Ho8 Ho 0.942 0.750 0.447 1
Al1 Al 0.111 0.750 0.171 1
Al2 Al 0.487 0.250 0.705 1
Al3 Al 0.513 0.750 0.295 1
Al4 Al 0.889 0.250 0.829 1
```

## Properties
Energy above the lowest structure with this stoichiometry ... 106.4 meV/atom
D(E_F) ... 13.6 states/eV per cell
Symmetry ... P2_1/m, No. 11
M_tot ... 0.00 μB/atom

=====

Material: YTi2Cr
Method: DFT, PBE
State: optimized geometry

The structure in CIF format:
```
data_YTi2Cr
_space_group_name_H-M_alt 'P 1'
_space_group_IT_number 1
_cell_length_a 4.672
_cell_length_b 4.672
_cell_length_c 4.672
_cell_angle_alpha 60.00
_cell_angle_beta 60.00
_cell_angle_gamma 60.00
loop_
_space_group_symop_operation_xyz
'x,y,z'
loop_
_atom_site_label
_atom_site_type_symbol
_atom_site_fract_x
_atom_site_fract_y
_atom_site_fract_z
_atom_site_occupancy
Y1 Y 0.000 0.000 0.000 1
Ti1 Ti 0.250 0.250 0.250 1
Ti2 Ti 0.750 0.750 0.750 1
Cr1 Cr 0.500 0.500 0.500 1
```

## Properties
Energy above the lowest structure with this stoichiometry ... 0.0 meV/atom
D(E_F) ... 9.8 states/eV per cell
Symmetry ... Fm-3m, No. 225
M_tot ... 0.00 μB/atom

=====

Material: Ta3AgPt
Method: DFT, PBE
State: optimized geometry

The structure in CIF format:
```
data_Ta3AgPt
_space_group_name_H-M_alt 'P 1'
_space_group_IT_number 1
_cell_length_a 4.885
_cell_length_b 4.885
_cell_length_c 4.885
_cell_angle_alpha 90.00
_cell_angle_beta 90.00
_cell_angle_gamma 90.00
loop_
_space_group_symop_operation_xyz
'x,y,z'
loop_
_atom_site_label
_atom_site_type_symbol
_atom_site_fract_x
_atom_site_fract_y
_atom_site_fract_z
_atom_site_occupancy
Ta1 Ta 0.000 0.000 0.500 1
Ta2 Ta 0.000 0.500 0.000 1
Ta3 Ta 0.500 0.000 0.000 1
Ag1 Ag 0.500 0.500 0.500 1
Pt1 Pt 0.000 0.000 0.000 1
```

## Properties
Energy above the lowest structure with this stoichiometry ... 0.0 meV/atom
D(E_F) ... 5.9 states/eV per cell
Symmetry ... Pm-3m, No. 221
M_tot ... 0.00 μB/atom